Bi2MoS2: optimized geometry, GGA-PBEsol.

Properties
E_form (uncorrected) ... 347.0 meV/atom

a = 3.409 Å, b = 3.409 Å, c = 9.828 Å
α = 99.99°, β = 99.99°, γ = 90.00°
Positions (direct):
1 S 0.250 0.750 0.500
2 S 0.750 0.250 0.500
3 Mo 0.000 0.000 0.000
4 Bi 0.413 0.413 0.826
5 Bi 0.587 0.587 0.174



LaY: optimized geometry, GGA-PBEsol.

Properties
Energy of formation from the pure elements ... 35 meV per atom

a = 3.645 Å, b = 6.791 Å, c = 8.528 Å
α = 103.50°, β = 90.00°, γ = 105.57°
Positions (direct):
1 Y 0.666 0.332 0.336
2 Y 0.059 0.117 0.611
3 Y 0.718 0.437 0.942
4 La 0.000 0.000 0.000
5 La 0.389 0.779 0.275
6 La 0.334 0.668 0.669



Mg2ScHg: optimized geometry, GGA-PBEsol.

Properties
Energy of formation from the pure elements ... -285 meV per atom

a = 4.872 Å, b = 4.872 Å, c = 4.872 Å
α = 60.00°, β = 60.00°, γ = 60.00°
Positions (direct):
1 Sc 0.500 0.500 0.500
2 Mg 0.000 0.000 0.000
3 Mg 0.750 0.750 0.750
4 Hg 0.250 0.250 0.250



Co2WSe: optimized geometry, GGA-PBEsol.

Properties
E_form (uncorrected) ... 421.0 meV/atom

a = 3.681 Å, b = 3.681 Å, c = 4.546 Å
α = 113.88°, β = 113.88°, γ = 90.00°
Positions (direct):
1 Co 0.750 0.250 0.500
2 Co 0.250 0.750 0.500
3 Se 0.500 0.500 0.000
4 W 0.000 0.000 0.000



K3HfAl: optimized geometry, GGA-PBEsol.

Properties
Energy of formation from the pure elements ... 1447 meV per atom

a = 6.330 Å, b = 6.330 Å, c = 6.330 Å
α = 90.00°, β = 90.00°, γ = 90.00°
Positions (direct):
1 K 0.000 0.500 0.000
2 K 0.000 0.000 0.500
3 K 0.500 0.000 0.000
4 Hf 0.500 0.500 0.500
5 Al 0.000 0.000 0.000



V2Cr3Si3: optimized geometry, GGA-PBEsol.

Properties
E_form (uncorrected) ... -487.5 meV/atom

a = 4.604 Å, b = 6.830 Å, c = 6.830 Å
α = 83.05°, β = 70.30°, γ = 70.30°
Positions (direct):
1 V 0.423 0.309 0.846
2 V 0.577 0.691 0.154
3 V 0.923 0.846 0.309
4 V 0.077 0.154 0.691
5 Cr 0.724 0.853 0.700
6 Cr 0.276 0.147 0.300
7 Cr 0.776 0.300 0.147
8 Cr 0.224 0.700 0.853
9 Cr 0.250 0.500 0.500
10 Cr 0.750 0.500 0.500
11 Si 0.250 0.000 0.000
12 Si 0.750 0.000 0.000
13 Si 0.333 0.830 0.503
14 Si 0.667 0.170 0.497
15 Si 0.833 0.503 0.830
16 Si 0.167 0.497 0.170



Size of the total moment
In order: 0.000, 0.000, 0.000, 0.001, 0.463, 0.000
Unit: μB per atom